Record 1
# Tb3SmDy8

Tb3SmDy8 after structural relaxation (PBE, the Alexandria database).

a = 12.5667 Å, b = 11.3090 Å, c = 6.2783 Å
α = 90.00°, β = 119.95°, γ = 90.00°
Space group Cm (No. 8)
Asymmetric unit:
Tb: 0.0000 0.0000 0.0000
Tb: 0.3325 0.2489 0.6656
Sm: 0.1658 0.5000 0.6656
Dy: 0.1659 0.0000 0.6662
Dy: 0.1657 0.2495 0.9998
Dy: 0.3322 0.0000 0.3316
Dy: 0.3330 0.5000 0.3332
Dy: 0.4987 0.0000 0.9993
Dy: 0.4987 0.2507 0.3320

Computed properties:
E (eV per atom): -4.608
DOS(E_F) (states/eV per cell): 42.5

---

Record 2
# AcPr4Er3

AcPr4Er3 after structural relaxation (PBE, the Alexandria database).

a = 3.7871 Å, b = 5.9733 Å, c = 25.0224 Å
α = 90.00°, β = 90.00°, γ = 90.00°
Space group Immm (No. 71)
Asymmetric unit:
Ac: 0.0000 0.0000 0.0000
Pr: 0.0000 0.5000 0.1141
Pr: 0.0000 0.5000 0.3581
Er: 0.0000 0.0000 0.2656
Er: 0.0000 0.0000 0.5000

Computed properties:
E (eV per atom): -4.526
DOS(E_F) (states/eV per cell): 27.4

---

> Which of these has the lowest DOS(E_F)?

AcPr4Er3